# 1
ZrTi2ReN, relaxed, DFT PBE; formation energy (no corrections) = -711 meV per atom; E = -9.73 eV/atom; V = 15.06 Å³/atom; size of the total moment = 0.0 μB per cell; SG = P4/mmm
1.0
4.060 0.000 0.000
0.000 4.060 0.000
0.000 0.000 4.568
Zr Ti Re N
1 2 1 1
Direct
0.000 0.000 0.000
0.000 0.500 0.500
0.500 0.000 0.500
0.500 0.500 0.000
0.000 0.000 0.500



# 2
TlRe2N, relaxed, DFT PBE; formation energy (no corrections) = 2092 meV per atom; E = -6.81 eV/atom; V = 14.96 Å³/atom; size of the total moment = 0.0 μB per cell; SG = Fm-3m; energy above the most stable polymorph in this dataset = 1038.8 meV/atom
1.0
0.000 3.104 3.104
3.104 0.000 3.104
3.104 3.104 0.000
Tl Re N
1 2 1
Direct
0.000 0.000 0.000
0.250 0.250 0.250
0.750 0.750 0.750
0.500 0.500 0.500



# 3
TlRe2N, relaxed, DFT PBE; formation energy (no corrections) = 1053 meV per atom; E = -7.84 eV/atom; V = 18.72 Å³/atom; size of the total moment = 0.0 μB per cell; SG = I-42d; energy above the most stable polymorph in this dataset = 0.0 meV/atom
1.0
-2.610 2.610 5.497
2.610 -2.610 5.497
2.610 2.610 -5.497
Tl Re N
2 4 2
Direct
0.000 0.000 0.000
0.750 0.250 0.500
0.287 0.625 0.162
0.375 0.537 0.662
0.463 0.125 0.838
0.875 0.713 0.338
0.250 0.750 0.500
0.500 0.500 0.000



# 4
Tl3ReN, relaxed, DFT PBE; formation energy (no corrections) = 1615 meV per atom; E = -3.96 eV/atom; V = 22.43 Å³/atom; size of the total moment = 2.9 μB per cell; SG = Pm-3m; energy above the most stable polymorph in this dataset = 107.2 meV/atom
1.0
4.823 0.000 0.000
0.000 4.823 0.000
0.000 0.000 4.823
Tl Re N
3 1 1
Direct
0.000 0.000 0.500
0.000 0.500 0.000
0.500 0.000 0.000
0.500 0.500 0.500
0.000 0.000 0.000



# 5
Tl3ReN, relaxed, DFT PBE; formation energy (no corrections) = 1508 meV per atom; E = -4.07 eV/atom; V = 30.82 Å³/atom; size of the total moment = 3.4 μB per cell; SG = Pm-3m; energy above the most stable polymorph in this dataset = 0.0 meV/atom
1.0
5.361 0.000 0.000
0.000 5.361 0.000
0.000 0.000 5.361
Tl Re N
3 1 1
Direct
0.000 0.000 0.500
0.000 0.500 0.000
0.500 0.000 0.000
0.000 0.000 0.000
0.500 0.500 0.500



# 6
TlRe3N, relaxed, DFT PBE; formation energy (no corrections) = 4713 meV per atom; E = -4.89 eV/atom; V = 24.00 Å³/atom; size of the total moment = 0.0 μB per cell; SG = Pm-3m; energy above the most stable polymorph in this dataset = 3925.0 meV/atom
1.0
4.932 0.000 0.000
0.000 4.932 0.000
0.000 0.000 4.932
Tl Re N
1 3 1
Direct
0.000 0.000 0.000
0.000 0.000 0.500
0.000 0.500 0.000
0.500 0.000 0.000
0.500 0.500 0.500



# 7
TlRe3N, relaxed, DFT PBE; formation energy (no corrections) = 788 meV per atom; E = -8.82 eV/atom; V = 14.57 Å³/atom; size of the total moment = 1.0 μB per cell; SG = Pm-3m; energy above the most stable polymorph in this dataset = 0.0 meV/atom
1.0
4.177 0.000 0.000
0.000 4.177 0.000
0.000 0.000 4.177
Tl Re N
1 3 1
Direct
0.000 0.000 0.000
0.000 0.500 0.500
0.500 0.000 0.500
0.500 0.500 0.000
0.500 0.500 0.500



# 8
TmReN2, relaxed, DFT PBE; formation energy (no corrections) = 78 meV per atom; E = -8.31 eV/atom; V = 14.02 Å³/atom; size of the total moment = 0.0 μB per cell; SG = R-3m
1.0
1.565 0.903 6.613
-1.565 0.903 6.613
0.000 -1.807 6.613
Tm Re N
1 1 2
Direct
0.000 0.000 0.000
0.500 0.500 0.500
0.112 0.112 0.112
0.888 0.888 0.888



# 9
Tm2ReN4, relaxed, DFT PBE; formation energy (no corrections) = -909 meV per atom; E = -8.72 eV/atom; V = 14.63 Å³/atom; size of the total moment = 0.0 μB per cell; SG = P2_1/m; energy above the most stable polymorph in this dataset = 0.0 meV/atom
1.0
5.791 0.000 0.000
0.000 5.831 0.000
-1.888 0.000 6.067
Tm Re N
4 2 8
Direct
0.162 0.250 0.034
0.226 0.250 0.556
0.774 0.750 0.444
0.838 0.750 0.966
0.298 0.750 0.814
0.702 0.250 0.186
0.047 0.516 0.756
0.047 0.984 0.756
0.483 0.750 0.097
0.495 0.750 0.639
0.505 0.250 0.361
0.517 0.250 0.903
0.953 0.016 0.244
0.953 0.484 0.244



# 10
TmRe2N4, relaxed, DFT PBE; formation energy (no corrections) = -166 meV per atom; E = -9.12 eV/atom; V = 16.91 Å³/atom; size of the total moment = 0.0 μB per cell; SG = I4/m; energy above the most stable polymorph in this dataset = 266.5 meV/atom
1.0
-3.311 3.311 2.698
3.311 -3.311 2.698
3.311 3.311 -2.698
Tm Re N
1 2 4
Direct
0.000 0.000 0.000
0.250 0.750 0.500
0.750 0.250 0.500
0.114 0.322 0.436
0.322 0.886 0.208
0.678 0.114 0.792
0.886 0.678 0.564



# 11
TmRe2N6, relaxed, DFT PBE; formation energy (no corrections) = 2 meV per atom; E = -8.81 eV/atom; V = 14.33 Å³/atom; size of the total moment = 1.0 μB per cell; SG = R3
1.0
2.651 1.531 5.296
-2.651 1.531 5.296
0.000 -3.061 5.296
Tm Re N
1 2 6
Direct
0.000 0.000 0.000
0.502 0.502 0.502
0.789 0.789 0.789
0.079 0.706 0.446
0.214 0.650 0.804
0.446 0.079 0.706
0.650 0.804 0.214
0.706 0.446 0.079
0.804 0.214 0.650



# 12
TmRe2N4, relaxed, DFT PBE; formation energy (no corrections) = -433 meV per atom; E = -9.39 eV/atom; V = 11.14 Å³/atom; size of the total moment = 0.0 μB per cell; SG = Cmcm; energy above the most stable polymorph in this dataset = 0.0 meV/atom
1.0
1.599 -4.845 0.000
1.599 4.845 0.000
0.000 0.000 10.065
Tm Re N
2 4 8
Direct
0.130 0.870 0.750
0.870 0.130 0.250
0.387 0.613 0.564
0.387 0.613 0.936
0.613 0.387 0.064
0.613 0.387 0.436
0.000 0.000 0.000
0.000 0.000 0.500
0.262 0.738 0.107
0.262 0.738 0.393
0.440 0.560 0.750
0.560 0.440 0.250
0.738 0.262 0.607
0.738 0.262 0.893



# 13
Tm2ReN4, relaxed, DFT PBE; formation energy (no corrections) = -879 meV per atom; E = -8.69 eV/atom; V = 13.82 Å³/atom; size of the total moment = 0.3 μB per cell; SG = Fd-3m; energy above the most stable polymorph in this dataset = 29.7 meV/atom
1.0
0.000 4.590 4.590
4.590 0.000 4.590
4.590 4.590 0.000
Tm Re N
4 2 8
Direct
0.000 0.000 0.000
0.000 0.000 0.500
0.000 0.500 0.000
0.500 0.000 0.000
0.375 0.375 0.375
0.625 0.625 0.625
0.258 0.258 0.258
0.258 0.258 0.727
0.258 0.727 0.258
0.273 0.742 0.742
0.727 0.258 0.258
0.742 0.273 0.742
0.742 0.742 0.273
0.742 0.742 0.742